6
Lattice="4.557 0.000 0.000 -2.278 3.946 0.000 0.000 0.000 7.296" Properties=species:S:1:pos:R:3 comment="PmYGa2Au2, relaxed, DFT PBE-GGA" delta_e_f_ev_per_atom=-0.7896 sg="P-3m1, No. 164" total_energy_ev_per_atom=-4.760 mass_density_g_cm3=9.71 pbc="T T T"
Pm 0.000 0.000 0.000
Y 0.000 0.000 3.648
Ga 0.000 2.631 5.394
Ga 2.278 1.315 1.901
Au 0.000 2.631 1.929
Au 2.278 1.315 5.367


16
Lattice="6.903 0.000 0.000 0.000 6.903 0.000 0.000 0.000 6.903" Properties=species:S:1:pos:R:3 comment="Ca2SiO, relaxed, DFT PBE-GGA" relative_energy_mev_per_atom=693 sg="Fm-3m, No. 225" total_energy_ev_per_atom=-4.178 mass_density_g_cm3=2.51 pbc="T T T"
Ca 1.726 1.726 1.726
Ca 1.726 1.726 5.178
Ca 1.726 5.178 1.726
Ca 1.726 5.178 5.178
Ca 5.178 1.726 1.726
Ca 5.178 1.726 5.178
Ca 5.178 5.178 1.726
Ca 5.178 5.178 5.178
Si 0.000 0.000 0.000
Si 0.000 3.452 3.452
Si 3.452 0.000 3.452
Si 3.452 3.452 0.000
O 0.000 0.000 3.452
O 0.000 3.452 0.000
O 3.452 0.000 0.000
O 3.452 3.452 3.452


4
Lattice="4.694 0.000 0.000 0.000 4.694 0.000 0.000 0.000 4.265" Properties=species:S:1:pos:R:3 comment="Ca2OsPb, relaxed, DFT PBE-GGA" delta_e_f_ev_per_atom=0.2613 sg="P4/mmm, No. 123" total_energy_ev_per_atom=-4.474 mass_density_g_cm3=8.44 pbc="T T T"
Ca 0.000 2.347 0.000
Ca 2.347 0.000 0.000
Os 0.000 0.000 2.132
Pb 2.347 2.347 2.132


5
Lattice="4.884 0.000 0.000 0.000 4.884 0.000 0.000 0.000 5.410" Properties=species:S:1:pos:R:3 comment="BaAl2TcHg, relaxed, DFT PBE-GGA" delta_e_f_ev_per_atom=-0.1617 sg="P4/mmm, No. 123" total_energy_ev_per_atom=-4.177 mass_density_g_cm3=6.30 pbc="T T T"
Ba 0.000 0.000 0.000
Al 0.000 2.442 2.705
Al 2.442 0.000 2.705
Tc 2.442 2.442 2.705
Hg 2.442 2.442 0.000


Calculated DOS at the Fermi energy in order - 2.798, 10.010, 2.481, 3.286 states/eV/cell